14
Lattice="6.4617 0.0000 0.0000 0.0000 6.1252 0.0000 -2.6051 0.0000 8.2068" Properties=species:S:1:pos:R:3 comment="BaUPtS4 (PBE, relaxed)" dft_energy_ev_per_atom=-6.306 n_ef_per_ev_fu=5.90 magmom_total_mub_per_atom=0.133 raw_formation_energy_ev_per_atom=-1.197 sg="P2_1/m (11)" mass_density_g_cm3=7.1 pbc="T T T"
Ba 1.4433 1.5313 0.4223
Ba 2.4132 4.5939 7.7845
U 0.1355 1.5313 4.5459
U 3.7211 4.5939 3.6610
Pt 0.5656 4.5939 2.8192
Pt 3.2909 1.5313 5.3877
S -1.5986 3.2029 5.8453
S -1.5986 5.9850 5.8453
S 2.4513 4.5939 1.2897
S 1.4352 4.5939 4.9570
S 2.4214 1.5313 3.2498
S 1.4052 1.5313 6.9171
S 5.4552 0.1402 2.3615
S 5.4552 2.9224 2.3615

=====

10
Lattice="-3.3312 3.3312 5.7494 3.3312 -3.3312 5.7494 3.3312 3.3312 -5.7494" Properties=species:S:1:pos:R:3 comment="Ba2UPtS6 (PBE, relaxed)" dft_energy_ev_per_atom=-5.967 magmom_total_mub_per_atom=0.000 raw_formation_energy_ev_per_atom=-1.373 sg="I4/m (87)" mass_density_g_cm3=5.9 pbc="T T T"
Ba 3.3312 0.0000 2.8747
Ba 0.0000 3.3312 2.8747
U 0.0000 0.0000 0.0000
Pt 0.0000 0.0000 5.7494
S 2.1984 1.2861 0.0000
S 0.0000 0.0000 2.5598
S 2.0451 -1.1328 5.7494
S 1.2861 4.4641 0.0000
S 0.0000 0.0000 8.9391
S 1.1328 2.0451 5.7494